# 1
VASP calculation (PBE) on Pr5In2Bi after structural relaxation.

a = 8.8059 Å, b = 8.8059 Å, c = 13.4162 Å
α = 90.00°, β = 90.00°, γ = 90.00°
Last column: nearest neighbours and their distance in Å.
Space group I4/mcm (No. 140)
Inequivalent atoms, fractional coordinates:
Pr 0.0000 0.0000 0.0000 [4 per cell]  2 Bi 3.35, 4 In 3.41
Pr 0.1599 0.3401 0.1500 [16 per cell]  3 In 3.23-3.31, 1 Pr 3.50, 2 Bi 3.57
In 0.1376 0.3624 0.5000 [8 per cell]  8 Pr 3.23-3.41, 1 In 3.43
Bi 0.0000 0.0000 0.2500 [4 per cell]  10 Pr 3.35-3.57

theoretical density: 7.30 g/cm³
total DFT energy (no corrections): -4.647 eV per atom
crystal system: tetragonal
energy of formation: -11.3 kcal/mol of atoms

---

# 2
VASP calculation (PBE) on KInIr2 after structural relaxation.

a = 2.9602 Å, b = 2.9602 Å, c = 31.0775 Å
α = 90.00°, β = 90.00°, γ = 120.00°
Last column: nearest neighbours and their distance in Å.
Space group R3m (No. 160, hexagonal axes)
Inequivalent atoms, fractional coordinates:
K 0.0000 0.0000 0.0000 [3 per cell]  6 K 2.96, 3 Ir 3.29
In 0.0000 0.0000 0.2311 [3 per cell]  3 Ir 2.88, 6 In 2.96
Ir 0.0000 0.0000 0.4900 [3 per cell]  9 Ir 2.68-2.96, 3 In 2.88
Ir 0.0000 0.0000 0.7570 [3 per cell]  9 Ir 2.68-2.96

theoretical density: 11.37 g/cm³
total DFT energy (no corrections): -4.821 eV per atom
crystal system: trigonal
energy of formation: 13.1 kcal/mol of atoms

---

# 3
VASP calculation (PBE) on AcPmErSn after structural relaxation.

a = 7.8985 Å, b = 7.8985 Å, c = 7.8985 Å
α = 90.00°, β = 90.00°, γ = 90.00°
Last column: nearest neighbours and their distance in Å.
Space group F-43m (No. 216)
Inequivalent atoms, fractional coordinates:
Ac 0.0000 0.0000 0.0000 [4 per cell]  4 Er 3.42, 4 Pm 3.42
Pm 0.2500 0.2500 0.2500 [4 per cell]  4 Ac 3.42, 4 Sn 3.42
Er 0.2500 0.2500 0.7500 [4 per cell]  4 Ac 3.42, 4 Sn 3.42
Sn 0.0000 0.0000 0.5000 [4 per cell]  4 Pm 3.42, 4 Er 3.42

theoretical density: 8.87 g/cm³
total DFT energy (no corrections): -4.529 eV per atom
crystal system: cubic
energy of formation: -4.0 kcal/mol of atoms

---

# 4
VASP calculation (PBE) on Ba2ScTlIr after structural relaxation.

a = 6.0576 Å, b = 6.0576 Å, c = 5.3279 Å
α = 90.00°, β = 90.00°, γ = 90.00°
Last column: nearest neighbours and their distance in Å.
Space group P4/mmm (No. 123)
Inequivalent atoms, fractional coordinates:
Ba 0.0000 0.5000 0.0000 [2 per cell]  2 Ir 3.03
Sc 0.0000 0.0000 0.5000 [1 per cell]  8 Ba 4.03, 4 Tl 4.28
Tl 0.5000 0.5000 0.5000 [1 per cell]  2 Ir 2.66
Ir 0.5000 0.5000 0.0000 [1 per cell]  2 Tl 2.66

theoretical density: 6.08 g/cm³
total DFT energy (no corrections): -4.003 eV per atom
crystal system: tetragonal
energy of formation: 6.4 kcal/mol of atoms

---

Q: Among the records above, which one has the highest total DFT energy (no corrections)?
A: Ba2ScTlIr

---

Q: total DFT energy (no corrections) of number 3 (AcPmErSn)?
A: -4.529 eV per atom

---

Q: Which value of theoretical density does entry 4 give?
A: 6.08 g/cm³